Arrangement a

Compound: Li2IBr2
Source: Alexandria
Functional: meta-GGA SCAN
Structure: PBEsol geometry

```
Li2IBr2
1.0
9.359 0.000 0.000
0.000 9.359 0.000
0.000 0.000 3.289
Li I Br
4 2 4
direct
0.099 0.401 0.000 Li
0.401 0.901 0.000 Li
0.599 0.099 0.000 Li
0.901 0.599 0.000 Li
0.000 0.000 0.500 I
0.500 0.500 0.500 I
0.125 0.625 0.500 Br
0.375 0.125 0.500 Br
0.625 0.875 0.500 Br
0.875 0.375 0.500 Br
```

Values from the calculation:
Spin magnetization in Bohr magnetons per cell: 0.00

---

Arrangement b

Compound: Li2IBr2
Source: Alexandria
Functional: meta-GGA SCAN
Structure: PBEsol geometry

```
Li2IBr2
1.0
-1.948 1.948 9.582
1.948 -1.948 9.582
1.948 1.948 -9.582
Li I Br
2 1 2
direct
0.250 0.750 0.500 Li
0.750 0.250 0.500 Li
0.000 0.000 0.000 I
0.327 0.327 0.000 Br
0.673 0.673 0.000 Br
```

Values from the calculation:
Spin magnetization in Bohr magnetons per cell: 0.00

---

In terms of stability, arrangement b leads; the second structure lies 163 meV per atom higher.